Al2Zn7: optimized geometry, GGA-PBE.

Cell lengths 4.812, 4.812, 6.967 Å; angles 90.00, 90.00, 120.00 degrees
Element x y z (fractional)
Al (0.667, 0.333, 0.000)
Al (0.333, 0.667, 0.000)
Zn (0.667, 0.667, 0.665)
Zn (0.000, 0.333, 0.665)
Zn (0.000, 0.667, 0.335)
Zn (0.667, 0.000, 0.335)
Zn (0.333, 0.333, 0.335)
Zn (0.000, 0.000, 0.000)
Zn (0.333, 0.000, 0.665)

theoretical density	6.1	g/cm3
VASP energy	-1.7949	eV per atom
N(E_F)	1.356	states/eV per cell

=====

AlZn6: optimized geometry, GGA-PBE.

Cell lengths 5.285, 5.285, 8.220 Å; angles 90.00, 90.00, 90.00 degrees
Element x y z (fractional)
Zn (0.000, 0.000, 0.146)
Zn (0.000, 0.000, 0.854)
Zn (0.827, 0.673, 0.359)
Zn (0.327, 0.173, 0.641)
Zn (0.673, 0.173, 0.359)
Zn (0.173, 0.327, 0.359)
Zn (0.327, 0.827, 0.359)
Zn (0.500, 0.500, 0.854)
Zn (0.673, 0.827, 0.641)
Zn (0.173, 0.673, 0.641)
Zn (0.500, 0.500, 0.146)
Zn (0.827, 0.327, 0.641)
Al (0.000, 0.500, 0.000)
Al (0.500, 0.000, 0.000)

theoretical density	6.1	g/cm3
VASP energy	-1.5287	eV per atom
N(E_F)	2.305	states/eV per cell

=====

Al2Zn: optimized geometry, GGA-PBE.

Cell lengths 4.076, 4.076, 3.384 Å; angles 90.00, 90.00, 90.00 degrees
Element x y z (fractional)
Zn (0.000, 0.000, 0.000)
Al (0.500, 0.000, 0.500)
Al (0.000, 0.500, 0.500)

theoretical density	3.5	g/cm3
VASP energy	-2.7203	eV per atom
N(E_F)	1.171	states/eV per cell

=====

AlZn5: optimized geometry, GGA-PBE.

Cell lengths 6.261, 6.261, 3.931 Å; angles 90.00, 90.00, 143.04 degrees
Element x y z (fractional)
Zn (0.472, 0.528, 0.500)
Zn (0.640, 0.360, 0.000)
Zn (0.304, 0.696, 0.000)
Zn (0.140, 0.860, 0.500)
Zn (0.804, 0.196, 0.500)
Al (0.972, 0.028, 0.000)

theoretical density	6.3	g/cm3
VASP energy	-1.6636	eV per atom
N(E_F)	0.930	states/eV per cell

=====

AlZn5: optimized geometry, GGA-PBE.

Cell lengths 5.151, 5.151, 7.698 Å; angles 67.92, 67.92, 29.79 degrees
Element x y z (fractional)
Zn (0.638, 0.638, 0.722)
Zn (0.306, 0.306, 0.390)
Zn (0.972, 0.972, 0.555)
Zn (0.302, 0.302, 0.890)
Zn (0.643, 0.643, 0.220)
Al (0.972, 0.972, 0.056)

theoretical density	6.3	g/cm3
VASP energy	-1.6623	eV per atom
N(E_F)	0.973	states/eV per cell

=====

Al3Zn: optimized geometry, GGA-PBE.

Cell lengths 2.800, 2.800, 8.275 Å; angles 90.00, 90.00, 90.00 degrees
Element x y z (fractional)
Al (0.000, 0.000, 0.508)
Al (0.500, 0.500, 0.250)
Al (0.000, 0.000, 0.992)
Zn (0.500, 0.500, 0.750)

theoretical density	3.7	g/cm3
VASP energy	-3.1163	eV per atom
N(E_F)	0.808	states/eV per cell

=====

Al4Zn5: optimized geometry, GGA-PBE.

Cell lengths 3.992, 6.307, 6.307 Å; angles 84.25, 71.55, 71.55 degrees
Element x y z (fractional)
Zn (0.000, 0.665, 0.335)
Zn (0.665, 0.335, 0.335)
Zn (0.335, 0.665, 0.665)
Zn (0.000, 0.000, 0.000)
Zn (0.000, 0.335, 0.665)
Al (0.667, 0.666, 0.000)
Al (0.333, 0.334, 0.000)
Al (0.667, 0.000, 0.666)
Al (0.333, 0.000, 0.334)

theoretical density	5.1	g/cm3
VASP energy	-2.3363	eV per atom
N(E_F)	3.110	states/eV per cell

=====

Al2Zn: optimized geometry, GGA-PBE.

Cell lengths 4.784, 4.784, 4.784 Å; angles 137.16, 137.16, 62.19 degrees
Element x y z (fractional)
Al (0.333, 0.333, 0.000)
Al (0.667, 0.667, 0.000)
Zn (0.000, 0.000, 0.000)

theoretical density	4.0	g/cm3
VASP energy	-2.8337	eV per atom
N(E_F)	0.626	states/eV per cell